VASP calculation (PBE) on crystalline NbAgTe2I at its relaxed geometry.

Unit cell a=5.393 b=5.393 c=5.754 alpha=90.00 beta=90.00 gamma=90.00
Sites, in units of the cell vectors:
Nb (0.000, 0.000, 0.000)
Ag (0.500, 0.500, 0.500)
Te (0.000, 0.500, 0.000)
Te (0.500, 0.000, 0.000)
I (0.000, 0.000, 0.500)

E_tot: -19.30 eV/cell
Formation energy without anion corrections: 291 meV per atom
Space group: P4/mmm (123)
Offset from the most stable computed form: 0 meV per atom